[1]
Li3SbPd7 | GGA-PBE | optimized geometry

```
Li3SbPd7
1.0
5.075 -0.343 -0.439
-2.846 6.140 0.496
-2.846 -1.007 6.078
Pd Li Sb
7 3 1
Cartesian
-2.846 2.567 3.287 Pd
-0.478 5.157 2.684 Pd
-0.139 -0.367 3.451 Pd
-1.155 3.979 5.096 Pd
0.538 0.812 1.039 Pd
-0.139 3.437 0.481 Pd
-0.478 1.353 5.654 Pd
-2.846 4.508 1.771 Li
-2.846 0.625 4.802 Li
2.538 -0.171 -0.219 Li
-0.309 2.395 3.067 Sb
```

Calculated values
The symmetry is C2/m, No. 12. The uncorrected formation energy is -0.213 eV/atom. The calculation puts the total magnetic moment at 0.00 μB per formula unit.

=====

[2]
AsRuN2O | GGA-PBE | optimized geometry

```
AsRuN2O
1.0
-0.855 0.989 -3.558
1.304 -3.336 -1.241
-3.810 -1.658 0.454
O Ru N As
1 1 2 1
Cartesian
-1.905 -0.829 0.227 O
0.000 0.000 0.000 Ru
-0.427 0.495 -1.779 N
0.652 -1.668 -0.620 N
-1.680 -2.002 -2.173 As
```

Calculated values
The symmetry is P4/mmm, No. 123. The uncorrected formation energy is 0.850 eV/atom. The calculation puts the total magnetic moment at 0.00 μB per formula unit.